Compound: BaTl2Bi
Source: Alexandria via LeMat-Bulk
Functional: GGA-PBE
Structure: optimized geometry

a b c (Å): 7.466 7.466 7.466
angles (deg): 102.73 102.73 124.00
Fractional coordinates of all 8 atoms:
Ba 0.000 0.000 0.000
Ba 0.750 0.250 0.500
Tl 0.161 0.625 0.036
Tl 0.375 0.411 0.536
Tl 0.589 0.125 0.964
Tl 0.875 0.839 0.464
Bi 0.250 0.750 0.500
Bi 0.500 0.500 0.000

## Properties
magnetic moment = 0.0 μB per formula unit
energy of formation = -0.3204 eV/atom
final energy = -2.95 eV/atom